--- one ---
Here is CaTe3Se after structural relaxation from the Alexandria database. Energies are from PBE.

```
CaTe3Se
1.0
5.811 0.000 0.000
0.000 5.811 0.000
0.000 0.000 5.811
Te Ca Se
3 1 1
direct
0.000 0.000 0.500
0.000 0.500 0.000
0.500 0.000 0.000
0.000 0.000 0.000
0.500 0.500 0.500
```

Results
* total magnetization: 0.93 μB/f.u.
* space group: Pm-3m, No. 221

--- two ---
Here is CaTe3Se after structural relaxation from the Alexandria database. Energies are from PBE.

```
CaTe3Se
1.0
5.503 0.000 0.000
0.000 5.503 0.000
0.000 0.000 5.503
Te Se Ca
3 1 1
direct
0.000 0.500 0.000
0.000 0.000 0.500
0.500 0.000 0.000
0.000 0.000 0.000
0.500 0.500 0.500
```

Results
* total magnetization: 0.00 μB/f.u.
* space group: Pm-3m, No. 221

Relative to the most stable one, in kJ/mol of atoms, the structures come out at one 60.2; two 0.0.